Record 1
First-principles (PBE) data for a relaxed structure of TiCu2SbN, as listed in the Alexandria database.

Output
- final energy (eV per atom) = -4.447

Geometry as extended XYZ:
```
5
Lattice="4.759 0.000 0.000 0.000 4.759 0.000 0.000 0.000 4.114" Properties=species:S:1:pos:R:3 pbc="T T T"
Ti 0.000 0.000 0.000
Cu 0.000 2.379 2.057
Cu 2.379 0.000 2.057
Sb 2.379 2.379 2.057
N 2.379 2.379 0.000
```

Record 2
First-principles (PBE) data for a relaxed structure of DyTm8Sb6, as listed in the Alexandria database.

Output
- final energy (eV per atom) = -5.048

Geometry as extended XYZ:
```
15
Lattice="3.704 2.139 9.644 -3.704 2.139 9.644 0.000 -4.277 9.644" Properties=species:S:1:pos:R:3 pbc="T T T"
Dy 0.000 0.000 0.000
Tm -1.222 -2.151 13.124
Tm -2.474 -0.017 15.809
Tm 0.000 0.000 9.646
Tm -1.252 2.134 13.124
Tm 1.252 -2.134 15.809
Tm 0.000 0.000 19.286
Tm 2.474 0.017 13.124
Tm 1.222 2.151 15.809
Sb -2.463 -0.017 11.436
Sb -1.217 -2.141 17.497
Sb 1.246 -2.124 11.436
Sb -1.246 2.124 17.497
Sb 1.217 2.141 11.436
Sb 2.463 0.017 17.497
```